[1]
This record from the Alexandria database describes an optimized crystal structure of Tb7Hg3C2. The functional is PBE.

N(E_F) ... 12.1 states/eV per cell
Energy relative to the elements ... -381 meV/atom
Calculated density ... 10.001 g/cm3

Cell: 12.1703 12.1703 4.9040 Å, 90.00 90.00 156.59°
With the nearest neighbours (Å) after each atom.
Fractional positions:
Tb 0.0000 0.0000 0.0000  2 C 2.52
Tb 0.1022 0.8978 0.5000  2 C 2.45
Tb 0.2039 0.7961 0.0000  1 C 2.34
Tb 0.3991 0.6009 0.0000  2 C 2.47
Tb 0.6009 0.3991 0.0000  2 C 2.47
Tb 0.7961 0.2039 0.0000  1 C 2.34
Tb 0.8978 0.1022 0.5000  2 C 2.45
Hg 0.2999 0.7001 0.5000  10 Tb 3.35-3.48, 2 Hg 3.43
Hg 0.5000 0.5000 0.5000  12 Tb 3.44-3.48
Hg 0.7001 0.2999 0.5000  10 Tb 3.35-3.48, 2 Hg 3.43
C 0.1056 0.8944 0.0000  6 Tb 2.34-2.52
C 0.8944 0.1056 0.0000  6 Tb 2.34-2.52



[2]
This record from the Alexandria database describes an optimized crystal structure of Dy4HoMgS8. The functional is PBE.

N(E_F) ... 3.4 states/eV per cell
Energy relative to the elements, uncorrected ... -1.9195 eV per atom
Calculated density ... 5.090 g/cm3

Cell: 7.9642 7.9642 7.9642 Å, 60.03 60.03 60.03°
With the nearest neighbours (Å) after each atom.
Fractional positions:
Dy 0.0000 0.0000 0.0000  4 S 2.60-2.61
Dy 0.3778 0.3778 0.8672  6 S 2.74-2.76
Dy 0.3778 0.8672 0.3778  6 S 2.74-2.76
Dy 0.8672 0.3778 0.3778  6 S 2.74-2.76
Ho 0.3779 0.3779 0.3779  6 S 2.74-2.75
Mg 0.7501 0.7501 0.7501  4 S 2.51
S 0.1334 0.1334 0.1334  4 Dy 2.60-2.76
S 0.1344 0.1344 0.5995  3 Dy 2.61-2.76, 1 Ho 2.75
S 0.1344 0.5995 0.1344  3 Dy 2.61-2.76, 1 Ho 2.75
S 0.1366 0.6208 0.6208  1 Mg 2.51, 1 Ho 2.74, 2 Dy 2.75
S 0.5995 0.1344 0.1344  3 Dy 2.61-2.76, 1 Ho 2.75
S 0.6208 0.1366 0.6208  1 Mg 2.51, 1 Ho 2.74, 2 Dy 2.75
S 0.6208 0.6208 0.1366  1 Mg 2.51, 1 Ho 2.74, 2 Dy 2.75
S 0.6214 0.6214 0.6214  1 Mg 2.51, 3 Dy 2.74



[3]
This record from the Alexandria database describes an optimized crystal structure of CaErS2. The functional is PBE.

N(E_F) ... 5.8 states/eV per cell
Energy relative to the elements, uncorrected ... -1.9491 eV per atom
Energy above the most stable polymorph in this dataset ... 91 meV/atom
Calculated density ... 5.116 g/cm3

Cell: 3.8620 3.8620 20.4629 Å, 90.00 90.00 120.00°
With the nearest neighbours (Å) after each atom.
Fractional positions:
Ca 0.0000 0.0000 0.0000  6 S 2.80-2.94
Ca 0.3333 0.6667 0.6667  6 S 2.80-2.94
Ca 0.6667 0.3333 0.3333  6 S 2.80-2.94
Er 0.0000 0.0000 0.8249  6 S 2.72-2.78
Er 0.3333 0.6667 0.4916  6 S 2.72-2.78
Er 0.6667 0.3333 0.1582  6 S 2.72-2.78
S 0.0000 0.0000 0.2398  3 Er 2.78, 3 Ca 2.94
S 0.0000 0.0000 0.4157  3 Er 2.72, 3 Ca 2.80
S 0.3333 0.6667 0.0824  3 Er 2.72, 3 Ca 2.80
S 0.3333 0.6667 0.9064  3 Er 2.78, 3 Ca 2.94
S 0.6667 0.3333 0.5731  3 Er 2.78, 3 Ca 2.94
S 0.6667 0.3333 0.7491  3 Er 2.72, 3 Ca 2.80



[4]
This record from the Alexandria database describes an optimized crystal structure of CdIn2Ir. The functional is PBE.

N(E_F) ... 9.6 states/eV per cell
Energy relative to the elements ... 316 meV/atom
Calculated density ... 10.045 g/cm3

Cell: 4.2961 4.2961 19.1414 Å, 90.00 90.00 90.00°
With the nearest neighbours (Å) after each atom.
Fractional positions:
Cd 0.0000 0.0000 0.0000  4 In 2.87, 4 Ir 3.04
Cd 0.0000 0.5000 0.2500  4 In 2.87, 4 Ir 3.04
Cd 0.5000 0.0000 0.7500  4 In 2.87, 4 Ir 3.04
Cd 0.5000 0.5000 0.5000  4 In 2.87, 4 Ir 3.04
In 0.2295 0.2500 0.6250  2 Ir 2.80, 2 Cd 2.87, 2 In 2.92
In 0.2500 0.7295 0.8750  2 Ir 2.80, 2 Cd 2.87, 2 In 2.92
In 0.2500 0.7705 0.3750  2 Ir 2.80, 2 Cd 2.87, 2 In 2.92
In 0.2705 0.2500 0.1250  2 Ir 2.80, 2 Cd 2.87, 2 In 2.92
In 0.7295 0.7500 0.1250  2 Ir 2.80, 2 Cd 2.87, 2 In 2.92
In 0.7500 0.2295 0.3750  2 Ir 2.80, 2 Cd 2.87, 2 In 2.92
In 0.7500 0.2705 0.8750  2 Ir 2.80, 2 Cd 2.87, 2 In 2.92
In 0.7705 0.7500 0.6250  2 Ir 2.80, 2 Cd 2.87, 2 In 2.92
Ir 0.0000 0.0000 0.5000  4 In 2.80, 4 Cd 3.04
Ir 0.0000 0.5000 0.7500  4 In 2.80, 4 Cd 3.04
Ir 0.5000 0.0000 0.2500  4 In 2.80, 4 Cd 3.04
Ir 0.5000 0.5000 0.0000  4 In 2.80, 4 Cd 3.04